! PBE HfSiTe2I, relaxed; values from VASP
&SYSTEM
  ibrav = 0, nat = 5, ntyp = 4
/
ATOMIC_SPECIES
Si 28.09 Si.upf
Hf 178.49 Hf.upf
I 126.90 I.upf
Te 127.60 Te.upf
CELL_PARAMETERS angstrom
-5.252 -1.365 -1.348
1.866 -2.718 -4.516
0.447 -4.690 3.007
ATOMIC_POSITIONS crystal
Si 0.500 0.500 0.500
Hf 0.000 0.000 0.000
I 0.000 0.000 0.500
Te 0.500 0.000 0.000
Te 0.000 0.500 0.000
! - polymorph energy (0 for the lowest one) (eV per atom) = 0.000
! - calculated volume (Å³/f.u.) = 174.7
! - Fermi-level density of states (states/eV/f.u.) = 3.12
! - formation energy without anion corrections (eV per atom) = 0.323



! PBE Mg3MnAl, relaxed; values from VASP
&SYSTEM
  ibrav = 0, nat = 5, ntyp = 3
/
ATOMIC_SPECIES
Mg 24.30 Mg.upf
Al 26.98 Al.upf
Mn 54.94 Mn.upf
CELL_PARAMETERS angstrom
-2.141 4.501 -1.231
-4.564 -1.738 1.584
0.972 1.755 4.726
ATOMIC_POSITIONS crystal
Mg 0.000 0.500 0.000
Mg 0.000 0.000 0.500
Mg 0.500 0.000 0.000
Al 0.000 0.000 0.000
Mn 0.500 0.500 0.500
! - polymorph energy (0 for the lowest one) (eV per atom) = 0.000
! - calculated volume (Å³/f.u.) = 135.3
! - formation energy (eV per atom) = 0.73
! - Fermi-level density of states (states/eV/f.u.) = 3.18



! PBE CrTcBr, relaxed; values from VASP
&SYSTEM
  ibrav = 0, nat = 3, ntyp = 3
/
ATOMIC_SPECIES
Tc 98.00 Tc.upf
Br 79.90 Br.upf
Cr 52.00 Cr.upf
CELL_PARAMETERS angstrom
-4.969 3.261 -1.520
-4.735 -0.341 -3.875
3.700 -2.453 4.224
ATOMIC_POSITIONS crystal
Tc 0.862 0.696 0.166
Br 0.665 0.997 0.668
Cr 0.473 0.307 0.166
! - polymorph energy (0 for the lowest one) (eV per atom) = 0.062
! - calculated volume (Å³/f.u.) = 53.3
! - Fermi-level density of states (states/eV/f.u.) = 2.25
! - formation energy without anion corrections (eV per atom) = 0.465



! PBE Pr3BiPO, relaxed; values from VASP
&SYSTEM
  ibrav = 0, nat = 12, ntyp = 4
/
ATOMIC_SPECIES
Pr 140.91 Pr.upf
Bi 208.98 Bi.upf
O 16.00 O.upf
P 30.97 P.upf
CELL_PARAMETERS angstrom
-3.895 0.112 1.728
-1.520 -8.357 -2.885
3.710 -1.364 8.448
ATOMIC_POSITIONS crystal
Pr 0.750 0.884 0.148
Pr 0.250 0.569 0.843
Bi 0.250 0.180 0.228
Pr 0.250 0.116 0.852
O 0.250 0.088 0.591
Pr 0.750 0.171 0.524
Pr 0.250 0.829 0.476
Bi 0.750 0.820 0.772
O 0.750 0.912 0.409
Pr 0.750 0.431 0.157
P 0.250 0.658 0.159
P 0.750 0.342 0.841
! - calculated volume (Å³/f.u.) = 173.9
! - Fermi-level density of states (states/eV/f.u.) = 2.39
! - formation energy without anion corrections (eV per atom) = -1.737



! PBE SmTm2In4, relaxed; values from VASP
&SYSTEM
  ibrav = 0, nat = 7, ntyp = 3
/
ATOMIC_SPECIES
Sm 150.36 Sm.upf
In 114.82 In.upf
Tm 168.93 Tm.upf
CELL_PARAMETERS angstrom
6.079 0.125 -2.063
-2.994 5.196 -2.294
0.072 -0.125 6.419
ATOMIC_POSITIONS crystal
Sm 0.000 0.000 0.000
In 0.000 0.000 0.500
In 0.500 0.000 0.000
Tm 0.500 0.000 0.500
In 0.500 0.500 0.500
In 0.000 0.500 0.000
Tm 0.500 0.500 0.000
! - calculated volume (Å³/f.u.) = 203.4
! - formation energy (eV per atom) = -0.30
! - Fermi-level density of states (states/eV/f.u.) = 6.06



! PBE Cs2TlGeS4, relaxed; values from VASP
&SYSTEM
  ibrav = 0, nat = 16, ntyp = 4
/
ATOMIC_SPECIES
Ge 72.64 Ge.upf
S 32.06 S.upf
Cs 132.91 Cs.upf
Tl 204.38 Tl.upf
CELL_PARAMETERS angstrom
6.682 0.000 0.000
3.341 7.071 0.000
3.341 0.000 12.633
ATOMIC_POSITIONS crystal
Ge 0.500 0.000 0.000
S 0.204 0.311 0.399
Cs 0.181 0.000 0.639
S 0.398 0.689 0.399
Cs 0.569 0.500 0.861
S 0.837 0.811 0.899
Cs 0.819 0.000 0.361
Tl 0.750 0.500 0.500
S 0.352 0.811 0.101
S 0.546 0.189 0.101
S 0.264 0.189 0.899
S 0.486 0.311 0.601
S 0.913 0.689 0.601
Cs 0.931 0.500 0.139
Ge 0.250 0.500 0.500
Tl 0.000 0.000 0.000
! - calculated volume (Å³/f.u.) = 298.4
! - Fermi-level density of states (states/eV/f.u.) = 4.22
! - formation energy without anion corrections (eV per atom) = -0.669



! PBE Fe2OsRh6, relaxed; values from VASP
&SYSTEM
  ibrav = 0, nat = 18, ntyp = 3
/
ATOMIC_SPECIES
Fe 55.84 Fe.upf
Os 190.23 Os.upf
Rh 102.91 Rh.upf
CELL_PARAMETERS angstrom
5.191 -0.006 0.075
0.059 6.871 2.036
-0.024 -0.275 7.161
ATOMIC_POSITIONS crystal
Fe 0.597 0.207 0.203
Os 0.750 0.951 0.049
Fe 0.903 0.797 0.793
Rh 0.844 0.911 0.413
Fe 0.403 0.793 0.797
Rh 0.876 0.394 0.407
Rh 0.656 0.587 0.089
Os 0.250 0.049 0.951
Rh 0.156 0.089 0.587
Rh 0.642 0.116 0.672
Rh 0.124 0.606 0.593
Rh 0.142 0.672 0.116
Fe 0.097 0.203 0.207
Rh 0.624 0.593 0.606
Rh 0.376 0.407 0.394
Rh 0.344 0.413 0.911
Rh 0.858 0.328 0.884
Rh 0.358 0.884 0.328
! - calculated volume (Å³/f.u.) = 129.1
! - formation energy (eV per atom) = 0.23
! - Fermi-level density of states (states/eV/f.u.) = 12.01



! PBE CsSrNdI6, relaxed; values from VASP
&SYSTEM
  ibrav = 0, nat = 18, ntyp = 4
/
ATOMIC_SPECIES
I 126.90 I.upf
Sr 87.62 Sr.upf
Cs 132.91 Cs.upf
Nd 144.24 Nd.upf
CELL_PARAMETERS angstrom
-5.082 5.012 4.415
-2.238 -7.942 -1.538
7.508 -4.856 14.155
ATOMIC_POSITIONS crystal
I 0.631 0.014 0.361
Sr 0.333 0.667 0.250
I 0.014 0.631 0.861
Cs 0.000 0.000 0.500
I 0.384 0.369 0.361
I 0.014 0.384 0.639
I 0.986 0.616 0.361
I 0.631 0.616 0.139
I 0.986 0.369 0.139
Cs 0.000 0.000 0.000
I 0.616 0.986 0.861
I 0.369 0.986 0.639
I 0.384 0.014 0.139
Nd 0.333 0.667 0.750
Nd 0.667 0.333 0.250
I 0.369 0.384 0.861
Sr 0.667 0.333 0.750
I 0.616 0.631 0.639
! - calculated volume (Å³/f.u.) = 510.7
! - Fermi-level density of states (states/eV/f.u.) = 0.00
! - formation energy without anion corrections (eV per atom) = -1.560



! PBE Cd2C2BrO6, relaxed; values from VASP
&SYSTEM
  ibrav = 0, nat = 11, ntyp = 4
/
ATOMIC_SPECIES
Cd 112.41 Cd.upf
C 12.01 C.upf
Br 79.90 Br.upf
O 16.00 O.upf
CELL_PARAMETERS angstrom
5.552 -0.399 -0.796
2.381 5.204 -0.119
-0.618 -2.652 5.596
ATOMIC_POSITIONS crystal
Cd 0.783 0.362 0.744
C 0.826 0.295 0.217
Br 0.500 0.000 0.500
O 0.592 0.308 0.163
O 0.045 0.661 0.907
C 0.174 0.705 0.783
O 0.408 0.692 0.837
O 0.946 0.225 0.390
Cd 0.217 0.638 0.256
O 0.054 0.775 0.610
O 0.955 0.339 0.093
! - calculated volume (Å³/f.u.) = 167.7
! - Fermi-level density of states (states/eV/f.u.) = 4.50
! - formation energy without anion corrections (eV per atom) = -1.062



! PBE NaPr5Se8, relaxed; values from VASP
&SYSTEM
  ibrav = 0, nat = 14, ntyp = 3
/
ATOMIC_SPECIES
Na 22.99 Na.upf
Pr 140.91 Pr.upf
Se 78.96 Se.upf
CELL_PARAMETERS angstrom
-7.654 0.501 1.468
3.686 -2.820 6.280
2.776 7.101 -1.690
ATOMIC_POSITIONS crystal
Na 0.250 0.500 0.750
Pr 0.875 0.882 0.251
Se 0.972 0.098 0.722
Pr 0.007 0.375 0.125
Se 0.127 0.750 0.028
Se 0.120 0.754 0.516
Se 0.762 0.246 0.366
Pr 0.500 0.000 0.500
Se 0.484 0.604 0.238
Se 0.634 0.396 0.880
Se 0.624 0.902 0.873
Pr 0.369 0.118 0.993
Se 0.278 0.250 0.376
Pr 0.749 0.625 0.631
! - calculated volume (Å³/f.u.) = 366.6
! - Fermi-level density of states (states/eV/f.u.) = 0.00
! - formation energy without anion corrections (eV per atom) = -1.842



! PBE TcAgPdF6, relaxed; values from VASP
&SYSTEM
  ibrav = 0, nat = 18, ntyp = 4
/
ATOMIC_SPECIES
F 19.00 F.upf
Tc 98.00 Tc.upf
Pd 106.42 Pd.upf
Ag 107.87 Ag.upf
CELL_PARAMETERS angstrom
-5.401 0.184 2.599
1.047 -3.860 -4.468
2.656 -6.174 5.956
ATOMIC_POSITIONS crystal
F 0.325 0.387 0.872
F 0.675 0.062 0.372
F 0.062 0.675 0.872
F 0.613 0.938 0.872
F 0.613 0.675 0.628
F 0.938 0.613 0.372
Tc 0.667 0.333 0.250
F 0.387 0.062 0.128
F 0.325 0.938 0.628
F 0.062 0.387 0.628
F 0.387 0.325 0.372
F 0.938 0.325 0.128
Pd 0.000 0.000 0.000
F 0.675 0.613 0.128
Ag 0.667 0.333 0.750
Tc 0.333 0.667 0.750
Ag 0.333 0.667 0.250
Pd 0.000 0.000 0.500
! - calculated volume (Å³/f.u.) = 139.8
! - Fermi-level density of states (states/eV/f.u.) = 6.62
! - formation energy without anion corrections (eV per atom) = -1.466



! PBE Y7TmSc3, relaxed; values from VASP
&SYSTEM
  ibrav = 0, nat = 11, ntyp = 3
/
ATOMIC_SPECIES
Sc 44.96 Sc.upf
Y 88.91 Y.upf
Tm 168.93 Tm.upf
CELL_PARAMETERS angstrom
-6.488 1.566 -5.486
-4.514 -1.098 8.453
3.434 3.509 2.290
ATOMIC_POSITIONS crystal
Sc 0.222 0.012 0.722
Y 0.649 0.283 0.149
Y 0.351 0.717 0.851
Tm 0.500 0.500 0.500
Y 0.938 0.830 0.938
Sc 0.778 0.988 0.278
Sc 0.000 0.500 0.000
Y 0.179 0.367 0.679
Y 0.500 0.000 0.500
Y 0.821 0.633 0.321
Y 0.062 0.170 0.062
! - calculated volume (Å³/f.u.) = 336.6
! - formation energy (eV per atom) = 0.14
! - Fermi-level density of states (states/eV/f.u.) = 19.62



! PBE LaTaBr, relaxed; values from VASP
&SYSTEM
  ibrav = 0, nat = 3, ntyp = 3
/
ATOMIC_SPECIES
Ta 180.95 Ta.upf
La 138.91 La.upf
Br 79.90 Br.upf
CELL_PARAMETERS angstrom
4.993 0.000 0.000
-2.497 4.324 0.000
0.000 0.000 3.330
ATOMIC_POSITIONS crystal
Ta 0.333 0.667 0.833
La 0.667 0.333 0.334
Br 0.000 0.000 0.833
! - polymorph energy (0 for the lowest one) (eV per atom) = 0.238
! - calculated volume (Å³/f.u.) = 71.9
! - Fermi-level density of states (states/eV/f.u.) = 4.73
! - formation energy without anion corrections (eV per atom) = 0.326



! PBE NdYHSe, relaxed; values from VASP
&SYSTEM
  ibrav = 0, nat = 8, ntyp = 4
/
ATOMIC_SPECIES
Y 88.91 Y.upf
Nd 144.24 Nd.upf
H 1.01 H.upf
Se 78.96 Se.upf
CELL_PARAMETERS angstrom
3.965 0.000 0.000
1.983 3.434 0.000
1.983 1.145 13.108
ATOMIC_POSITIONS crystal
Y 0.211 0.211 0.368
Nd 0.382 0.382 0.854
Nd 0.618 0.618 0.146
H 0.732 0.732 0.803
Se 0.000 0.000 0.000
Y 0.789 0.789 0.632
H 0.268 0.268 0.197
Se 0.500 0.500 0.500
! - energy (eV/atom) = -5.650
! - calculated volume (Å³/f.u.) = 89.2
! - Fermi-level density of states (states/eV/f.u.) = 1.67



! PBE ErZr5Sc, relaxed; values from VASP
&SYSTEM
  ibrav = 0, nat = 14, ntyp = 3
/
ATOMIC_SPECIES
Zr 91.22 Zr.upf
Er 167.26 Er.upf
Sc 44.96 Sc.upf
CELL_PARAMETERS angstrom
-5.474 -2.784 -0.724
4.355 -5.755 2.897
-1.097 4.009 6.573
ATOMIC_POSITIONS crystal
Zr 0.250 0.394 0.106
Er 0.250 0.657 0.843
Er 0.750 0.343 0.157
Zr 0.964 0.847 0.602
Zr 0.367 0.218 0.775
Zr 0.036 0.153 0.398
Zr 0.750 0.606 0.894
Zr 0.133 0.725 0.282
Sc 0.000 0.000 0.000
Zr 0.633 0.782 0.225
Sc 0.500 0.500 0.500
Zr 0.867 0.275 0.718
Zr 0.536 0.898 0.653
Zr 0.464 0.102 0.347
! - calculated volume (Å³/f.u.) = 175.5
! - formation energy (eV per atom) = 0.21
! - Fermi-level density of states (states/eV/f.u.) = 9.73



! PBE LaPm8Sc5, relaxed; values from VASP
&SYSTEM
  ibrav = 0, nat = 14, ntyp = 3
/
ATOMIC_SPECIES
Sc 44.96 Sc.upf
Pm 145.00 Pm.upf
La 138.91 La.upf
CELL_PARAMETERS angstrom
8.161 0.117 -2.126
-4.322 6.254 -3.241
0.627 -0.114 8.412
ATOMIC_POSITIONS crystal
Sc 0.925 0.890 0.174
Pm 0.121 0.653 0.927
Pm 0.528 0.895 0.796
Pm 0.709 0.367 0.911
Sc 0.062 0.346 0.110
Pm 0.071 0.757 0.505
Sc 0.764 0.653 0.716
Pm 0.274 0.348 0.468
Sc 0.283 0.109 0.034
La 0.414 0.500 0.913
Pm 0.543 0.633 0.341
Pm 0.747 0.243 0.314
Sc 0.408 0.001 0.408
Pm 0.901 0.105 0.633
! - calculated volume (Å³/f.u.) = 437.6
! - formation energy (eV per atom) = 0.19
! - Fermi-level density of states (states/eV/f.u.) = 19.99



! PBE Na2DyAg, relaxed; values from VASP
&SYSTEM
  ibrav = 0, nat = 4, ntyp = 3
/
ATOMIC_SPECIES
Na 22.99 Na.upf
Ag 107.87 Ag.upf
Dy 162.50 Dy.upf
CELL_PARAMETERS angstrom
3.309 0.000 0.000
1.655 2.866 0.000
1.655 0.955 11.670
ATOMIC_POSITIONS crystal
Na 0.096 0.096 0.711
Na 0.904 0.904 0.289
Ag 0.500 0.500 0.500
Dy 0.000 0.000 0.000
! - calculated volume (Å³/f.u.) = 110.7
! - formation energy (eV per atom) = 0.22
! - Fermi-level density of states (states/eV/f.u.) = 2.44



! PBE CaZr2P, relaxed; values from VASP
&SYSTEM
  ibrav = 0, nat = 4, ntyp = 3
/
ATOMIC_SPECIES
Ca 40.08 Ca.upf
Zr 91.22 Zr.upf
P 30.97 P.upf
CELL_PARAMETERS angstrom
4.175 0.000 0.000
0.000 4.184 0.000
0.000 0.000 4.869
ATOMIC_POSITIONS crystal
Ca 0.500 0.000 0.500
Zr 0.500 0.500 0.000
Zr 0.000 0.000 0.000
P 0.000 0.500 0.500
! - calculated volume (Å³/f.u.) = 85.0
! - formation energy (eV per atom) = -0.12
! - Fermi-level density of states (states/eV/f.u.) = 4.37



! PBE CrH7Rh5, relaxed; values from VASP
&SYSTEM
  ibrav = 0, nat = 26, ntyp = 3
/
ATOMIC_SPECIES
Rh 102.91 Rh.upf
H 1.01 H.upf
Cr 52.00 Cr.upf
CELL_PARAMETERS angstrom
-2.110 0.712 1.900
7.401 -1.886 -0.088
3.582 14.485 -1.458
ATOMIC_POSITIONS crystal
Rh 0.315 0.043 0.314
H 0.986 0.878 0.097
Rh 0.144 0.956 0.977
H 0.190 0.729 0.003
H 0.911 0.342 0.526
H 0.248 0.267 0.379
H 0.885 0.327 0.990
Rh 0.244 0.506 0.101
Rh 0.652 0.460 0.923
Cr 0.746 0.508 0.262
Rh 0.739 0.004 0.148
H 0.225 0.749 0.394
H 0.200 0.234 0.663
Rh 0.787 0.028 0.476
H 0.355 0.061 0.754
H 0.545 0.658 0.648
H 0.533 0.902 0.258
H 0.893 0.832 0.508
Cr 0.147 0.458 0.756
H 0.940 0.604 0.817
Rh 0.256 0.012 0.635
H 0.925 0.097 0.916
Rh 0.288 0.530 0.414
Rh 0.750 0.510 0.590
Rh 0.651 0.959 0.807
H 0.454 0.360 0.145
! - energy (eV/atom) = -5.319
! - calculated volume (Å³/f.u.) = 107.7
! - Fermi-level density of states (states/eV/f.u.) = 10.85



! PBE U2Ni12P3Pt, relaxed; values from VASP
&SYSTEM
  ibrav = 0, nat = 18, ntyp = 4
/
ATOMIC_SPECIES
Ni 58.69 Ni.upf
U 238.03 U.upf
Pt 195.08 Pt.upf
P 30.97 P.upf
CELL_PARAMETERS angstrom
6.073 -1.263 -0.896
1.900 5.904 -0.896
1.900 1.106 5.869
ATOMIC_POSITIONS crystal
Ni 0.814 0.339 0.814
Ni 0.077 0.637 0.637
U 0.399 0.399 0.399
Ni 0.637 0.077 0.637
Ni 0.637 0.637 0.077
Pt 0.000 0.000 0.000
Ni 0.923 0.363 0.363
P 0.000 0.000 0.500
Ni 0.363 0.363 0.923
Ni 0.186 0.661 0.186
Ni 0.814 0.814 0.339
U 0.601 0.601 0.601
Ni 0.339 0.814 0.814
Ni 0.363 0.923 0.363
P 0.500 0.000 0.000
Ni 0.661 0.186 0.186
Ni 0.186 0.186 0.661
P 0.000 0.500 0.000
! - calculated volume (Å³/f.u.) = 240.8
! - formation energy (eV per atom) = -0.06
! - Fermi-level density of states (states/eV/f.u.) = 16.12



! PBE Ba2Ca5Mg, relaxed; values from VASP
&SYSTEM
  ibrav = 0, nat = 8, ntyp = 3
/
ATOMIC_SPECIES
Ba 137.33 Ba.upf
Ca 40.08 Ca.upf
Mg 24.30 Mg.upf
CELL_PARAMETERS angstrom
6.189 0.000 0.000
0.000 8.207 0.000
0.000 0.000 8.207
ATOMIC_POSITIONS crystal
Ba 0.500 0.500 0.000
Ca 0.000 0.268 0.268
Ca 0.000 0.732 0.268
Ca 0.000 0.732 0.732
Ca 0.000 0.268 0.732
Mg 0.000 0.000 0.000
Ba 0.500 0.000 0.500
Ca 0.500 0.000 0.000
! - calculated volume (Å³/f.u.) = 416.8
! - formation energy (eV per atom) = 0.25
! - Fermi-level density of states (states/eV/f.u.) = 10.61